No. 1
VASP calculation (GGA-PBE) on a relaxed structure of La2ZrSe2N2. Values from VASP.

Computed properties:
**Raw total energy**: -7.753 eV per atom
**Theoretical density**: 6.4 g cm⁻³
**E_form (uncorrected)**: -1.750 eV per atom

Structure (Quantum ESPRESSO input):
```
&SYSTEM
  ibrav = 0, nat = 7, ntyp = 4
/
ATOMIC_SPECIES
La 138.91 La.upf
Zr 91.22 Zr.upf
N 14.01 N.upf
Se 78.96 Se.upf
CELL_PARAMETERS angstrom
4.3213 0.0000 0.0000
0.0000 4.3213 0.0000
-2.1606 -2.1606 7.7073
ATOMIC_POSITIONS crystal
La 0.6134 0.6134 0.2267
Zr 0.0000 0.0000 0.0000
N 0.0000 0.5000 0.0000
Se 0.1792 0.1792 0.3585
La 0.3866 0.3866 0.7733
Se 0.8208 0.8208 0.6415
N 0.5000 0.0000 0.0000
```



No. 2
VASP calculation (GGA-PBE) on a relaxed structure of Rb2CaPaTe4. Values from VASP.

Computed properties:
**Raw total energy**: -4.429 eV per atom
**Theoretical density**: 5.0 g cm⁻³
**E_form (uncorrected)**: -1.180 eV per atom

Structure (Quantum ESPRESSO input):
```
&SYSTEM
  ibrav = 0, nat = 8, ntyp = 4
/
ATOMIC_SPECIES
Te 127.60 Te.upf
Rb 85.47 Rb.upf
Pa 231.04 Pa.upf
Ca 40.08 Ca.upf
CELL_PARAMETERS angstrom
-2.7812 -3.5764 0.9635
6.3758 -4.4584 1.8552
-2.6522 4.0773 7.4788
ATOMIC_POSITIONS crystal
Te 0.5000 0.7760 0.7994
Te 0.0000 0.7460 0.2003
Rb 0.5000 0.0000 0.5000
Pa 0.0000 0.0000 0.0000
Te 0.5000 0.2240 0.2006
Te 0.0000 0.2540 0.7997
Ca 0.5000 0.5000 0.0000
Rb 0.0000 0.5000 0.5000
```



No. 3
VASP calculation (GGA-PBE) on a relaxed structure of Sc4AlZn3. Values from VASP.

Computed properties:
**Raw total energy**: -4.509 eV per atom
**Theoretical density**: 4.4 g cm⁻³
**Energy relative to the elements**: -398 meV per atom

Structure (Quantum ESPRESSO input):
```
&SYSTEM
  ibrav = 0, nat = 8, ntyp = 3
/
ATOMIC_SPECIES
Sc 44.96 Sc.upf
Al 26.98 Al.upf
Zn 65.41 Zn.upf
CELL_PARAMETERS angstrom
4.5554 0.0000 1.3447
2.0792 4.0532 1.3447
0.0458 0.0280 8.2334
ATOMIC_POSITIONS crystal
Sc 0.3767 0.3767 0.8699
Al 0.0000 0.0000 0.0000
Zn 0.2514 0.2514 0.2458
Sc 0.1266 0.1266 0.6203
Sc 0.8734 0.8734 0.3797
Sc 0.6233 0.6233 0.1301
Zn 0.5000 0.5000 0.5000
Zn 0.7486 0.7486 0.7542
```



No. 4
VASP calculation (GGA-PBE) on a relaxed structure of BaSr2P6N12. Values from VASP.

Computed properties:
**Raw total energy**: -7.427 eV per atom
**Theoretical density**: 4.2 g cm⁻³
**E_form (uncorrected)**: -0.872 eV per atom

Structure (Quantum ESPRESSO input):
```
&SYSTEM
  ibrav = 0, nat = 84, ntyp = 4
/
ATOMIC_SPECIES
N 14.01 N.upf
Sr 87.62 Sr.upf
P 30.97 P.upf
Ba 137.33 Ba.upf
CELL_PARAMETERS angstrom
-7.1858 -6.8348 -2.2051
4.9908 -6.9955 5.4192
-5.1642 2.7498 8.3056
ATOMIC_POSITIONS crystal
N 0.7823 0.5024 0.9110
N 0.8270 0.2415 0.8851
N 0.9110 0.7823 0.5024
N 0.2415 0.8851 0.8270
N 0.2585 0.3851 0.8270
N 0.2823 0.9976 0.0890
N 0.3270 0.2585 0.1149
Sr 0.3712 0.3712 0.3712
P 0.1129 0.3131 0.8397
P 0.3397 0.1129 0.1869
P 0.8871 0.6869 0.1603
N 0.8851 0.6730 0.7415
N 0.0890 0.2177 0.4976
N 0.9976 0.4110 0.7823
N 0.7585 0.1149 0.1730
N 0.1149 0.3270 0.2585
Ba 0.5000 0.0000 0.5000
N 0.5890 0.2177 0.0024
N 0.3851 0.8270 0.2585
Sr 0.1288 0.6288 0.8712
P 0.6603 0.6129 0.3131
P 0.3397 0.3871 0.6869
N 0.0024 0.9110 0.7177
N 0.7415 0.6149 0.1730
N 0.7177 0.0024 0.9110
P 0.6129 0.1869 0.1603
N 0.4110 0.7177 0.4976
P 0.8397 0.1129 0.3131
Sr 0.1288 0.8712 0.3712
N 0.0890 0.2823 0.9976
N 0.2415 0.6149 0.3270
N 0.6149 0.3270 0.2415
P 0.3871 0.6869 0.3397
N 0.7823 0.9976 0.4110
N 0.2177 0.4976 0.0890
N 0.2177 0.0024 0.5890
P 0.8871 0.8131 0.6603
N 0.4110 0.7823 0.9976
P 0.1603 0.8871 0.6869
Ba 0.0000 0.0000 0.0000
P 0.8397 0.3871 0.8131
N 0.1730 0.7585 0.1149
N 0.7415 0.8851 0.6730
P 0.3131 0.8397 0.1129
P 0.3131 0.6603 0.6129
Ba 0.0000 0.5000 0.5000
N 0.8270 0.2585 0.3851
P 0.6603 0.8871 0.8131
N 0.4976 0.0890 0.2177
Sr 0.8712 0.1288 0.6288
N 0.8851 0.8270 0.2415
N 0.3851 0.6730 0.7585
N 0.6730 0.7415 0.8851
N 0.5024 0.5890 0.2823
Sr 0.6288 0.6288 0.6288
Sr 0.3712 0.1288 0.8712
N 0.7585 0.3851 0.6730
N 0.2585 0.1149 0.3270
Sr 0.6288 0.8712 0.1288
N 0.1730 0.7415 0.6149
P 0.3871 0.8131 0.8397
N 0.5890 0.2823 0.5024
P 0.6869 0.3397 0.3871
P 0.1129 0.1869 0.3397
N 0.0024 0.5890 0.2177
P 0.1869 0.1603 0.6129
N 0.3270 0.2415 0.6149
P 0.8131 0.8397 0.3871
N 0.4976 0.4110 0.7177
N 0.9976 0.0890 0.2823
Sr 0.8712 0.3712 0.1288
P 0.1869 0.3397 0.1129
P 0.1603 0.6129 0.1869
Ba 0.5000 0.5000 0.0000
N 0.5024 0.9110 0.7823
N 0.9110 0.7177 0.0024
P 0.6129 0.3131 0.6603
N 0.6149 0.1730 0.7415
N 0.1149 0.1730 0.7585
N 0.6730 0.7585 0.3851
N 0.7177 0.4976 0.4110
P 0.6869 0.1603 0.8871
P 0.8131 0.6603 0.8871
N 0.2823 0.5024 0.5890
```



No. 5
VASP calculation (GGA-PBE) on a relaxed structure of HfMoH2. Values from VASP.

Computed properties:
**Raw total energy**: -6.434 eV per atom
**Theoretical density**: 10.8 g cm⁻³

Structure (Quantum ESPRESSO input):
```
&SYSTEM
  ibrav = 0, nat = 4, ntyp = 3
/
ATOMIC_SPECIES
Mo 95.94 Mo.upf
H 1.01 H.upf
Hf 178.49 Hf.upf
CELL_PARAMETERS angstrom
0.1430 -2.6575 2.8724
1.2798 1.0268 3.5554
-2.5108 0.2191 2.9968
ATOMIC_POSITIONS crystal
Mo 0.0000 0.0000 0.0000
H 0.2500 0.2500 0.2500
H 0.7500 0.7500 0.7500
Hf 0.5000 0.5000 0.5000
```



No. 6
VASP calculation (GGA-PBE) on a relaxed structure of TlGaAgSe. Values from VASP.

Computed properties:
**Raw total energy**: -3.025 eV per atom
**Theoretical density**: 7.4 g cm⁻³
**E_form (uncorrected)**: -0.093 eV per atom

Structure (Quantum ESPRESSO input):
```
&SYSTEM
  ibrav = 0, nat = 8, ntyp = 4
/
ATOMIC_SPECIES
Ag 107.87 Ag.upf
Tl 204.38 Tl.upf
Ga 69.72 Ga.upf
Se 78.96 Se.upf
CELL_PARAMETERS angstrom
8.8150 0.0000 0.0091
0.0000 3.7605 0.0000
-2.5404 0.0000 6.2179
ATOMIC_POSITIONS crystal
Ag 0.8321 0.5000 0.3074
Tl 0.0642 0.5000 0.0951
Tl 0.0642 0.0000 0.5951
Ga 0.4060 0.5000 0.2426
Ag 0.8321 0.0000 0.8074
Ga 0.4060 0.0000 0.7426
Se 0.5705 0.0000 0.1506
Se 0.5705 0.5000 0.6506
```



Please write out number 3 again, unchanged.
VASP calculation (GGA-PBE) on a relaxed structure of Sc4AlZn3. Values from VASP.

Computed properties:
**Raw total energy**: -4.509 eV per atom
**Theoretical density**: 4.4 g cm⁻³
**Energy relative to the elements**: -398 meV per atom

Structure (Quantum ESPRESSO input):
```
&SYSTEM
  ibrav = 0, nat = 8, ntyp = 3
/
ATOMIC_SPECIES
Sc 44.96 Sc.upf
Al 26.98 Al.upf
Zn 65.41 Zn.upf
CELL_PARAMETERS angstrom
4.5554 0.0000 1.3447
2.0792 4.0532 1.3447
0.0458 0.0280 8.2334
ATOMIC_POSITIONS crystal
Sc 0.3767 0.3767 0.8699
Al 0.0000 0.0000 0.0000
Zn 0.2514 0.2514 0.2458
Sc 0.1266 0.1266 0.6203
Sc 0.8734 0.8734 0.3797
Sc 0.6233 0.6233 0.1301
Zn 0.5000 0.5000 0.5000
Zn 0.7486 0.7486 0.7542
```



What did the fourth record say?
VASP calculation (GGA-PBE) on a relaxed structure of BaSr2P6N12. Values from VASP.

Computed properties:
**Raw total energy**: -7.427 eV per atom
**Theoretical density**: 4.2 g cm⁻³
**E_form (uncorrected)**: -0.872 eV per atom

Structure (Quantum ESPRESSO input):
```
&SYSTEM
  ibrav = 0, nat = 84, ntyp = 4
/
ATOMIC_SPECIES
N 14.01 N.upf
Sr 87.62 Sr.upf
P 30.97 P.upf
Ba 137.33 Ba.upf
CELL_PARAMETERS angstrom
-7.1858 -6.8348 -2.2051
4.9908 -6.9955 5.4192
-5.1642 2.7498 8.3056
ATOMIC_POSITIONS crystal
N 0.7823 0.5024 0.9110
N 0.8270 0.2415 0.8851
N 0.9110 0.7823 0.5024
N 0.2415 0.8851 0.8270
N 0.2585 0.3851 0.8270
N 0.2823 0.9976 0.0890
N 0.3270 0.2585 0.1149
Sr 0.3712 0.3712 0.3712
P 0.1129 0.3131 0.8397
P 0.3397 0.1129 0.1869
P 0.8871 0.6869 0.1603
N 0.8851 0.6730 0.7415
N 0.0890 0.2177 0.4976
N 0.9976 0.4110 0.7823
N 0.7585 0.1149 0.1730
N 0.1149 0.3270 0.2585
Ba 0.5000 0.0000 0.5000
N 0.5890 0.2177 0.0024
N 0.3851 0.8270 0.2585
Sr 0.1288 0.6288 0.8712
P 0.6603 0.6129 0.3131
P 0.3397 0.3871 0.6869
N 0.0024 0.9110 0.7177
N 0.7415 0.6149 0.1730
N 0.7177 0.0024 0.9110
P 0.6129 0.1869 0.1603
N 0.4110 0.7177 0.4976
P 0.8397 0.1129 0.3131
Sr 0.1288 0.8712 0.3712
N 0.0890 0.2823 0.9976
N 0.2415 0.6149 0.3270
N 0.6149 0.3270 0.2415
P 0.3871 0.6869 0.3397
N 0.7823 0.9976 0.4110
N 0.2177 0.4976 0.0890
N 0.2177 0.0024 0.5890
P 0.8871 0.8131 0.6603
N 0.4110 0.7823 0.9976
P 0.1603 0.8871 0.6869
Ba 0.0000 0.0000 0.0000
P 0.8397 0.3871 0.8131
N 0.1730 0.7585 0.1149
N 0.7415 0.8851 0.6730
P 0.3131 0.8397 0.1129
P 0.3131 0.6603 0.6129
Ba 0.0000 0.5000 0.5000
N 0.8270 0.2585 0.3851
P 0.6603 0.8871 0.8131
N 0.4976 0.0890 0.2177
Sr 0.8712 0.1288 0.6288
N 0.8851 0.8270 0.2415
N 0.3851 0.6730 0.7585
N 0.6730 0.7415 0.8851
N 0.5024 0.5890 0.2823
Sr 0.6288 0.6288 0.6288
Sr 0.3712 0.1288 0.8712
N 0.7585 0.3851 0.6730
N 0.2585 0.1149 0.3270
Sr 0.6288 0.8712 0.1288
N 0.1730 0.7415 0.6149
P 0.3871 0.8131 0.8397
N 0.5890 0.2823 0.5024
P 0.6869 0.3397 0.3871
P 0.1129 0.1869 0.3397
N 0.0024 0.5890 0.2177
P 0.1869 0.1603 0.6129
N 0.3270 0.2415 0.6149
P 0.8131 0.8397 0.3871
N 0.4976 0.4110 0.7177
N 0.9976 0.0890 0.2823
Sr 0.8712 0.3712 0.1288
P 0.1869 0.3397 0.1129
P 0.1603 0.6129 0.1869
Ba 0.5000 0.5000 0.0000
N 0.5024 0.9110 0.7823
N 0.9110 0.7177 0.0024
P 0.6129 0.3131 0.6603
N 0.6149 0.1730 0.7415
N 0.1149 0.1730 0.7585
N 0.6730 0.7585 0.3851
N 0.7177 0.4976 0.4110
P 0.6869 0.1603 0.8871
P 0.8131 0.6603 0.8871
N 0.2823 0.5024 0.5890
```



- Which of these has the lowest raw total energy?
  La2ZrSe2N2



- What is the theoretical density in the fifth record?
  10.8 g cm⁻³